(P)
A plane-wave DFT calculation with PBE was carried out for a geometry-optimized InGaBr structure.

Cell lengths 6.3628, 4.1018, 7.5268 Å; angles 90.00, 112.92, 90.00 degrees
Last column: nearest neighbours and their distance in Å.
Fractional coordinates of all 6 atoms:
1 In 0.0470 0.2500 0.1683  1 Br 2.89, 2 Ga 3.03, 2 In 3.13
2 In 0.9530 0.7500 0.8317  1 Br 2.89, 2 Ga 3.03, 2 In 3.13
3 Ga 0.1200 0.2500 0.6211  2 Ga 2.77, 2 Br 2.88, 2 In 3.03
4 Ga 0.8800 0.7500 0.3789  2 Ga 2.77, 2 Br 2.88, 2 In 3.03
5 Br 0.4662 0.7500 0.7347  2 Ga 2.88, 1 In 2.89
6 Br 0.5338 0.2500 0.2653  2 Ga 2.88, 1 In 2.89

Values from the calculation:
Total magnetic moment in μB/cell: 0.00



(Q)
A plane-wave DFT calculation with PBE was carried out for a geometry-optimized InGaBr structure.

Cell lengths 4.1158, 6.2724, 7.5000 Å; angles 88.78, 88.73, 71.02 degrees
Last column: nearest neighbours and their distance in Å.
Fractional coordinates of all 6 atoms:
1 In 0.0000 0.0000 0.0000  1 Br 2.80, 2 Ga 2.88-2.92, 1 In 3.11
2 In 0.4270 0.1359 0.6982  2 Ga 2.93-3.00, 2 Br 3.07-3.18, 2 In 3.11-3.20
3 Ga 0.4107 0.1750 0.2324  2 Ga 2.68-2.70, 1 Br 2.80, 2 In 2.88-2.92
4 Ga 0.8469 0.2937 0.4415  1 Br 2.57, 2 Ga 2.68-2.70
5 Br 0.2425 0.5288 0.9815  1 Ga 2.80, 1 In 2.80
6 Br 0.6323 0.7266 0.4532  1 Ga 2.57

Values from the calculation:
Total magnetic moment in μB/cell: 0.00



(R)
A plane-wave DFT calculation with PBE was carried out for a geometry-optimized InGaBr structure.

Cell lengths 5.2294, 5.9171, 5.9171 Å; angles 106.62, 90.00, 90.00 degrees
Last column: nearest neighbours and their distance in Å.
Fractional coordinates of all 6 atoms:
1 In 0.0000 0.2143 0.7857  2 Ga 2.95-3.05, 2 Br 3.14
2 In 0.0000 0.7857 0.2143  2 Ga 2.95-3.05, 2 Br 3.14
3 Ga 0.0000 0.3022 0.3022  2 Ga 2.69, 2 In 2.95
4 Ga 0.5000 0.3918 0.3918  2 Ga 2.69, 2 Br 2.83
5 Br 0.5000 0.5199 0.8906  1 Ga 2.83, 2 In 3.14
6 Br 0.5000 0.8906 0.5199  1 Ga 2.83, 2 In 3.14

Values from the calculation:
Total magnetic moment in μB/cell: 0.00



(S)
A plane-wave DFT calculation with PBE was carried out for a geometry-optimized InGaBr structure.

Cell lengths 3.9204, 4.3908, 11.7946 Å; angles 88.24, 89.92, 64.06 degrees
Last column: nearest neighbours and their distance in Å.
Fractional coordinates of all 6 atoms:
1 In 0.0000 0.0000 0.0000  6 Br 3.23-3.35
2 In 0.2619 0.4722 0.3837  3 Ga 2.95-3.00, 2 Br 3.05-3.07
3 Ga 0.6512 0.6875 0.6014  1 Br 2.59, 3 Ga 2.60-2.64
4 Ga 0.9632 0.0772 0.5245  3 Ga 2.60-2.64
5 Br 0.6744 0.6463 0.8206  1 Ga 2.59
6 Br 0.6875 0.6167 0.1888  5 In 3.05-3.35

Values from the calculation:
Total magnetic moment in μB/cell: 0.00



Stability, lowest: (P)



(P)
A plane-wave DFT calculation with PBE was carried out for a geometry-optimized InGaBr structure.

Cell lengths 3.9870, 4.0121, 11.2778 Å; angles 90.00, 90.03, 90.00 degrees
Last column: nearest neighbours and their distance in Å.
Fractional coordinates of all 6 atoms:
1 In 0.0000 0.0000 0.0000  1 Br 2.83, 4 Ga 2.95
2 In 0.4966 0.5000 0.5951  8 Br 3.32-3.57
3 Ga 0.5004 0.5000 0.0736  2 Ga 2.67, 4 In 2.95
4 Ga 0.5010 0.0000 0.2292  2 Ga 2.67, 2 Br 2.80-2.81
5 Br 0.0000 0.0000 0.4038  2 Ga 2.80-2.81
6 Br 0.9981 0.0000 0.7493  1 In 2.83

Values from the calculation:
Total magnetic moment in μB/cell: 0.00



(Q)
A plane-wave DFT calculation with PBE was carried out for a geometry-optimized InGaBr structure.

Cell lengths 6.0591, 6.0591, 5.9857 Å; angles 104.45, 104.45, 118.68 degrees
Last column: nearest neighbours and their distance in Å.
Fractional coordinates of all 6 atoms:
1 In 0.2475 0.7525 0.5000  2 Br 2.99-3.00, 2 Ga 3.03, 2 In 3.08
2 In 0.7525 0.2475 0.0000  2 Br 2.99-3.00, 2 Ga 3.03, 2 In 3.08
3 Ga 0.7435 0.7457 0.4943  2 Br 2.92-2.95, 2 Ga 2.99, 2 In 3.03
4 Ga 0.7457 0.7435 0.9943  2 Br 2.92-2.95, 2 Ga 2.99, 2 In 3.03
5 Br 0.1365 0.3599 0.7459  2 Ga 2.92-2.95, 2 In 2.99-3.00
6 Br 0.3599 0.1365 0.2459  2 Ga 2.92-2.95, 2 In 2.99-3.00

Values from the calculation:
Total magnetic moment in μB/cell: 0.00



Stability, lowest: (Q)



(P)
A plane-wave DFT calculation with PBE was carried out for a geometry-optimized InGaBr structure.

Cell lengths 4.6796, 6.0675, 6.8986 Å; angles 105.96, 90.04, 104.24 degrees
Last column: nearest neighbours and their distance in Å.
Fractional coordinates of all 6 atoms:
1 In 0.2275 0.4463 0.3446  1 Br 2.94, 3 Ga 2.96-3.19, 2 In 3.08-3.15
2 In 0.7725 0.5537 0.6554  1 Br 2.94, 3 Ga 2.96-3.19, 2 In 3.08-3.15
3 Ga 0.2436 0.4631 0.8866  1 Br 2.60, 2 Ga 2.74-2.82
4 Ga 0.7564 0.5369 0.1134  1 Br 2.60, 2 Ga 2.74-2.82
5 Br 0.2156 0.0136 0.7504  1 Ga 2.60
6 Br 0.7844 0.9864 0.2496  1 Ga 2.60

Values from the calculation:
Total magnetic moment in μB/cell: 0.00



(Q)
A plane-wave DFT calculation with PBE was carried out for a geometry-optimized InGaBr structure.

Cell lengths 6.0409, 6.0409, 6.0409 Å; angles 118.00, 108.43, 102.38 degrees
Last column: nearest neighbours and their distance in Å.
Fractional coordinates of all 6 atoms:
1 In 0.0022 0.2500 0.2522  4 Ga 3.02, 2 Br 3.06
2 In 0.4978 0.7500 0.2478  4 Ga 3.02, 2 Br 3.06
3 Ga 0.5018 0.2518 0.2500  2 Br 2.87, 4 In 3.02
4 Ga 0.9982 0.2482 0.7500  2 Br 2.87, 4 In 3.02
5 Br 0.2500 0.8866 0.6366  2 Ga 2.87, 2 In 3.06
6 Br 0.7500 0.6134 0.8634  2 Ga 2.87, 2 In 3.06

Values from the calculation:
Total magnetic moment in μB/cell: 0.00



Stability, lowest: (Q)



(P)
A plane-wave DFT calculation with PBE was carried out for a geometry-optimized InGaBr4 structure.

Cell lengths 9.1564, 7.7939, 13.3861 Å; angles 90.00, 104.32, 90.00 degrees
Last column: nearest neighbours and their distance in Å.
Fractional coordinates of all 24 atoms:
1 In 0.0000 0.0689 0.2500  6 Br 3.28-3.59
2 In 0.0000 0.9311 0.7500  6 Br 3.28-3.59
3 In 0.5000 0.4134 0.7500  4 Br 3.26-3.41
4 In 0.5000 0.5866 0.2500  4 Br 3.26-3.41
5 Ga 0.2817 0.2131 0.0494  4 Br 2.36-2.38
6 Ga 0.2817 0.7869 0.5494  4 Br 2.36-2.38
7 Ga 0.7183 0.2131 0.4506  4 Br 2.36-2.38
8 Ga 0.7183 0.7869 0.9506  4 Br 2.36-2.38
9 Br 0.1578 0.4142 0.1332  1 Ga 2.37
10 Br 0.1578 0.5858 0.6332  1 Ga 2.37
11 Br 0.2030 0.2530 0.8677  1 Ga 2.38
12 Br 0.2030 0.7470 0.3677  1 Ga 2.38
13 Br 0.2194 0.0668 0.5921  1 Ga 2.36
14 Br 0.2194 0.9332 0.0921  1 Ga 2.36
15 Br 0.4566 0.2682 0.3979  1 Ga 2.36
16 Br 0.4566 0.7318 0.8979  1 Ga 2.36
17 Br 0.5434 0.2682 0.1021  1 Ga 2.36
18 Br 0.5434 0.7318 0.6021  1 Ga 2.36
19 Br 0.7806 0.0668 0.9079  1 Ga 2.36
20 Br 0.7806 0.9332 0.4079  1 Ga 2.36
21 Br 0.7970 0.2530 0.6323  1 Ga 2.38
22 Br 0.7970 0.7470 0.1323  1 Ga 2.38
23 Br 0.8422 0.4142 0.3668  1 Ga 2.37
24 Br 0.8422 0.5858 0.8668  1 Ga 2.37

Values from the calculation:
Total magnetic moment in μB/cell: 0.00



(Q)
A plane-wave DFT calculation with PBE was carried out for a geometry-optimized InGaBr4 structure.

Cell lengths 6.9404, 6.9404, 10.5774 Å; angles 97.40, 97.40, 76.08 degrees
Last column: nearest neighbours and their distance in Å.
Fractional coordinates of all 12 atoms:
1 In 0.0000 0.5000 0.0000  6 Br 3.34-3.52
2 In 0.5000 0.0000 0.5000  6 Br 3.34-3.52
3 Ga 0.1502 0.8498 0.7500  4 Br 2.36-2.38
4 Ga 0.8498 0.1502 0.2500  4 Br 2.36-2.38
5 Br 0.1714 0.1839 0.7378  1 Ga 2.38
6 Br 0.1839 0.1714 0.2378  1 Ga 2.38
7 Br 0.2696 0.6577 0.5638  1 Ga 2.36
8 Br 0.3423 0.7304 0.9362  1 Ga 2.36
9 Br 0.6577 0.2696 0.0638  1 Ga 2.36
10 Br 0.7304 0.3423 0.4362  1 Ga 2.36
11 Br 0.8161 0.8286 0.7622  1 Ga 2.38
12 Br 0.8286 0.8161 0.2622  1 Ga 2.38

Values from the calculation:
Total magnetic moment in μB/cell: 0.00



(R)
A plane-wave DFT calculation with PBE was carried out for a geometry-optimized InGaBr4 structure.

Cell lengths 8.6425, 8.6425, 8.6425 Å; angles 104.01, 104.01, 121.05 degrees
Last column: nearest neighbours and their distance in Å.
Fractional coordinates of all 12 atoms:
1 In 0.3750 0.6250 0.7500  8 Br 3.40-3.50
2 In 0.6250 0.3750 0.2500  8 Br 3.40-3.50
3 Ga 0.1250 0.8750 0.2500  4 Br 2.37
4 Ga 0.8750 0.1250 0.7500  4 Br 2.37
5 Br 0.1354 0.7074 0.4281  1 Ga 2.37
6 Br 0.2207 0.2926 0.9281  1 Ga 2.37
7 Br 0.2926 0.2207 0.4281  1 Ga 2.37
8 Br 0.2926 0.8646 0.0719  1 Ga 2.37
9 Br 0.7074 0.1354 0.9281  1 Ga 2.37
10 Br 0.7074 0.7793 0.5719  1 Ga 2.37
11 Br 0.7793 0.7074 0.0719  1 Ga 2.37
12 Br 0.8646 0.2926 0.5719  1 Ga 2.37

Values from the calculation:
Total magnetic moment in μB/cell: 0.00



Stability, lowest: (R)



(P)
A plane-wave DFT calculation with PBE was carried out for a geometry-optimized In2Ga2Br structure.

Cell lengths 8.4553, 8.4553, 3.5708 Å; angles 90.00, 90.00, 90.00 degrees
Last column: nearest neighbours and their distance in Å.
Fractional coordinates of all 10 atoms:
1 In 0.1921 0.3079 0.0000  6 Ga 2.96-3.19
2 In 0.3079 0.8079 0.0000  6 Ga 2.96-3.19
3 In 0.6921 0.1921 0.0000  6 Ga 2.96-3.19
4 In 0.8079 0.6921 0.0000  6 Ga 2.96-3.19
5 Ga 0.1103 0.6103 0.5000  1 Ga 2.64
6 Ga 0.3897 0.1103 0.5000  1 Ga 2.64
7 Ga 0.6103 0.8897 0.5000  1 Ga 2.64
8 Ga 0.8897 0.3897 0.5000  1 Ga 2.64
9 Br 0.0000 0.0000 0.5000  4 Ga 3.42, 8 In 3.55, 2 Br 3.57
10 Br 0.5000 0.5000 0.5000  4 Ga 3.42, 8 In 3.55, 2 Br 3.57

Values from the calculation:
Total magnetic moment in μB/cell: 0.00



(Q)
A plane-wave DFT calculation with PBE was carried out for a geometry-optimized In2Ga2Br structure.

Cell lengths 8.2201, 8.2201, 8.2201 Å; angles 151.14, 151.14, 41.27 degrees
Last column: nearest neighbours and their distance in Å.
Fractional coordinates of all 5 atoms:
1 In 0.1029 0.1029 0.0000  4 Ga 3.05, 1 In 3.17, 4 Br 3.30
2 In 0.8971 0.8971 0.0000  4 Ga 3.05, 1 In 3.17, 4 Br 3.30
3 Ga 0.2500 0.7500 0.5000  4 Ga 2.90, 4 In 3.05
4 Ga 0.7500 0.2500 0.5000  4 Ga 2.90, 4 In 3.05
5 Br 0.5000 0.5000 0.0000  8 In 3.30

Values from the calculation:
Total magnetic moment in μB/cell: 0.00



Stability, lowest: (Q)